No. 1
# Nd2SmY

A relaxed Nd2SmY crystal (PBE, the Alexandria database).

Output
formation energy from the elements = 0.121 eV/atom
space group = Fm-3m, No. 225
distance to the lowest polymorph of the same formula = 111 meV/atom
total magnetization = 0.0 μB/f.u.
E = -5.0588 eV/atom
calculated volume = 137.1 Å³ per cell

Unit cell a=5.788 b=5.788 c=5.788 alpha=60.00 beta=60.00 gamma=60.00
Fractional positions:
Y 0.500 0.500 0.500
Sm 0.000 0.000 0.000
Nd 0.250 0.250 0.250
Nd 0.750 0.750 0.750



No. 2
# NdSm6Y6

A relaxed NdSm6Y6 crystal (PBE, the Alexandria database).

Output
formation energy from the elements = 0.218 eV/atom
space group = Cmmm, No. 65
total magnetization = 0.0 μB/f.u.
E = -5.3098 eV/atom
calculated volume = 448.4 Å³ per cell

Unit cell a=6.693 b=6.693 c=11.055 alpha=90.00 beta=90.00 gamma=115.13
Fractional positions:
Sm 0.000 0.000 0.671
Sm 0.252 0.748 0.500
Sm 0.000 0.000 0.329
Sm 0.361 0.640 0.000
Sm 0.748 0.252 0.500
Sm 0.639 0.360 0.000
Y 0.000 0.500 0.223
Y 0.500 0.500 0.312
Y 0.500 0.000 0.224
Y 0.500 0.000 0.776
Y 0.500 0.500 0.688
Y 0.000 0.500 0.777
Nd 0.000 0.000 0.000



No. 3
# Nd8Sm2Y

A relaxed Nd8Sm2Y crystal (PBE, the Alexandria database).

Output
formation energy from the elements = 0.154 eV/atom
space group = C2/m, No. 12
distance to the lowest polymorph of the same formula = 35 meV/atom
total magnetization = 0.0 μB/f.u.
E = -4.7591 eV/atom
calculated volume = 388.4 Å³ per cell

Unit cell a=6.792 b=10.423 c=10.423 alpha=38.49 beta=59.75 gamma=59.75
Fractional positions:
Nd 0.172 0.756 0.756
Nd 0.231 0.350 0.825
Nd 0.828 0.244 0.244
Nd 0.769 0.175 0.650
Nd 0.769 0.650 0.175
Nd 0.730 0.592 0.592
Nd 0.270 0.408 0.408
Nd 0.231 0.825 0.350
Sm 0.412 0.197 0.197
Sm 0.588 0.803 0.803
Y 0.000 0.000 0.000



No. 4
# NdSm8Y6

A relaxed NdSm8Y6 crystal (PBE, the Alexandria database).

Output
formation energy from the elements = 0.119 eV/atom
space group = R-3, No. 148
total magnetization = 0.0 μB/f.u.
E = -5.3016 eV/atom
calculated volume = 504.8 Å³ per cell

Unit cell a=9.149 b=9.149 c=8.740 alpha=58.44 beta=58.44 gamma=60.00
Fractional positions:
Sm 0.577 0.577 0.270
Sm 0.112 0.749 0.421
Sm 0.423 0.423 0.730
Sm 0.749 0.718 0.421
Sm 0.282 0.888 0.579
Sm 0.718 0.112 0.421
Sm 0.888 0.251 0.579
Sm 0.251 0.282 0.579
Nd 0.000 0.000 0.000
Y 0.099 0.246 0.119
Y 0.754 0.463 0.881
Y 0.463 0.901 0.881
Y 0.901 0.754 0.881
Y 0.537 0.099 0.119
Y 0.246 0.537 0.119



No. 5
# Nd5Sm12Y

A relaxed Nd5Sm12Y crystal (PBE, the Alexandria database).

Output
formation energy from the elements = 0.014 eV/atom
space group = C2/m, No. 12
total magnetization = 0.0 μB/f.u.
E = -4.8152 eV/atom
calculated volume = 615.3 Å³ per cell

Unit cell a=10.938 b=10.926 c=6.302 alpha=106.61 beta=90.00 gamma=59.96
Fractional positions:
Sm 0.166 0.333 0.500
Sm 0.999 0.668 0.001
Sm 0.001 0.332 0.999
Sm 0.668 0.000 0.000
Sm 0.834 0.000 0.500
Sm 0.834 0.667 0.500
Sm 0.332 0.000 0.000
Sm 0.333 0.668 0.001
Sm 0.667 0.332 0.999
Sm 0.501 0.333 0.500
Sm 0.499 0.667 0.500
Sm 0.166 0.000 0.500
Nd 0.500 0.000 0.500
Nd 0.667 0.667 0.000
Nd 0.166 0.667 0.501
Nd 0.333 0.333 0.000
Nd 0.834 0.333 0.499
Y 0.000 0.000 0.000



No. 6
# NdSm4Y4

A relaxed NdSm4Y4 crystal (PBE, the Alexandria database).

Output
formation energy from the elements = 0.017 eV/atom
space group = P-1, No. 2
total magnetization = 0.0 μB/f.u.
E = -5.4830 eV/atom
calculated volume = 597.9 Å³ per cell

Unit cell a=12.990 b=13.954 c=11.974 alpha=71.97 beta=120.08 gamma=158.51
Fractional positions:
Sm 0.804 0.222 0.472
Sm 0.026 0.110 0.360
Sm 0.196 0.778 0.528
Sm 0.749 0.000 0.750
Sm 0.918 0.667 0.917
Sm 0.251 0.000 0.250
Sm 0.082 0.333 0.083
Sm 0.974 0.890 0.640
Y 0.140 0.556 0.806
Y 0.529 0.111 0.861
Y 0.860 0.444 0.194
Y 0.414 0.665 0.415
Y 0.308 0.223 0.973
Y 0.471 0.889 0.139
Y 0.586 0.335 0.585
Y 0.692 0.777 0.027
Nd 0.362 0.445 0.695
Nd 0.638 0.555 0.305



No. 7
# Nd3Sm3Y8

A relaxed Nd3Sm3Y8 crystal (PBE, the Alexandria database).

Output
formation energy from the elements = 0.111 eV/atom
space group = Immm, No. 71
distance to the lowest polymorph of the same formula = 0 meV/atom
total magnetization = 0.0 μB/f.u.
E = -5.6152 eV/atom
calculated volume = 474.4 Å³ per cell

Unit cell a=5.732 b=9.801 c=9.801 alpha=102.71 beta=72.98 gamma=72.98
Fractional positions:
Y 0.661 0.119 0.559
Y 0.339 0.441 0.881
Y 0.661 0.559 0.119
Y 0.840 0.762 0.557
Y 0.160 0.238 0.443
Y 0.840 0.557 0.762
Y 0.160 0.443 0.238
Y 0.339 0.881 0.441
Sm 0.802 0.199 0.199
Sm 0.500 0.500 0.500
Sm 0.198 0.801 0.801
Nd 0.500 0.000 0.000
Nd 0.000 0.185 0.815
Nd 0.000 0.815 0.185



No. 8
# Nd7SmY4

A relaxed Nd7SmY4 crystal (PBE, the Alexandria database).

Output
formation energy from the elements = 0.002 eV/atom
space group = P-1, No. 2
distance to the lowest polymorph of the same formula = 0 meV/atom
total magnetization = 0.0 μB/f.u.
E = -5.3269 eV/atom
calculated volume = 411.4 Å³ per cell

Unit cell a=7.339 b=9.719 c=9.054 alpha=81.15 beta=89.99 gamma=40.94
Fractional positions:
Nd 0.753 0.499 0.001
Nd 0.029 0.721 0.335
Nd 0.247 0.501 0.999
Nd 0.779 0.222 0.334
Nd 0.971 0.279 0.665
Nd 0.500 0.000 0.000
Nd 0.221 0.778 0.666
Y 0.720 0.780 0.665
Y 0.468 0.279 0.667
Y 0.280 0.220 0.335
Y 0.532 0.721 0.333
Sm 0.000 0.000 0.000



No. 9
# Nd4Sm6Y

A relaxed Nd4Sm6Y crystal (PBE, the Alexandria database).

Output
formation energy from the elements = 0.386 eV/atom
space group = I-42m, No. 121
distance to the lowest polymorph of the same formula = 100 meV/atom
total magnetization = 0.0 μB/f.u.
E = -4.5098 eV/atom
calculated volume = 399.1 Å³ per cell

Unit cell a=7.691 b=7.691 c=8.665 alpha=116.35 beta=116.35 gamma=90.00
Fractional positions:
Y 0.500 0.500 0.000
Sm 0.919 0.456 0.375
Sm 0.081 0.081 0.625
Sm 0.456 0.919 0.375
Sm 0.544 0.544 0.625
Sm 0.000 0.500 0.000
Sm 0.500 0.000 0.000
Nd 0.095 0.749 0.843
Nd 0.251 0.251 0.157
Nd 0.905 0.905 0.157
Nd 0.749 0.095 0.843



No. 10
# Nd5Sm2Y

A relaxed Nd5Sm2Y crystal (PBE, the Alexandria database).

Output
formation energy from the elements = 0.213 eV/atom
space group = C2/c, No. 15
total magnetization = 0.0 μB/f.u.
E = -4.7548 eV/atom
calculated volume = 566.5 Å³ per cell

Unit cell a=16.500 b=16.500 c=10.555 alpha=60.93 beta=60.93 gamma=120.13
Fractional positions:
Nd 0.957 0.074 0.472
Nd 0.926 0.043 0.028
Nd 0.404 0.684 0.503
Nd 0.316 0.596 0.997
Nd 0.654 0.346 0.750
Nd 0.346 0.654 0.250
Nd 0.043 0.926 0.528
Nd 0.074 0.957 0.972
Nd 0.684 0.404 0.003
Nd 0.596 0.316 0.497
Sm 0.000 0.500 0.500
Sm 0.500 0.500 0.000
Sm 0.500 0.000 0.000
Sm 0.500 0.500 0.500
Y 0.237 0.763 0.750
Y 0.763 0.237 0.250



No. 11
# NdSm8Y4

A relaxed NdSm8Y4 crystal (PBE, the Alexandria database).

Output
formation energy from the elements = 0.231 eV/atom
space group = P-1, No. 2
total magnetization = 0.0 μB/f.u.
E = -5.0288 eV/atom
calculated volume = 453.1 Å³ per cell

Unit cell a=12.506 b=11.572 c=10.439 alpha=90.01 beta=146.51 gamma=117.59
Fractional positions:
Nd 0.000 0.500 0.500
Sm 0.563 0.782 0.274
Sm 0.437 0.218 0.726
Sm 0.433 0.216 0.144
Sm 0.567 0.784 0.856
Sm 0.996 0.258 0.803
Sm 0.004 0.742 0.197
Sm 0.996 0.738 0.802
Sm 0.004 0.262 0.198
Y 0.500 0.500 0.000
Y 0.000 0.500 0.000
Y 0.500 0.000 0.000
Y 0.000 0.000 0.000



No. 12
# Nd2SmY8

A relaxed Nd2SmY8 crystal (PBE, the Alexandria database).

Output
formation energy from the elements = 0.155 eV/atom
space group = C2/m, No. 12
total magnetization = 0.0 μB/f.u.
E = -5.8424 eV/atom
calculated volume = 369.2 Å³ per cell

Unit cell a=5.947 b=9.097 c=9.239 alpha=60.51 beta=74.91 gamma=58.07
Fractional positions:
Y 0.703 0.577 0.000
Y 0.297 0.423 0.000
Y 0.500 0.791 0.418
Y 0.500 0.209 0.582
Y 0.166 0.671 0.231
Y 0.834 0.098 0.231
Y 0.166 0.902 0.769
Y 0.834 0.329 0.769
Sm 0.500 0.000 0.000
Nd 0.000 0.694 0.611
Nd 0.000 0.306 0.389



No. 13
# Nd3Sm3Y

A relaxed Nd3Sm3Y crystal (PBE, the Alexandria database).

Output
formation energy from the elements = 0.221 eV/atom
space group = R-3, No. 148
distance to the lowest polymorph of the same formula = 197 meV/atom
total magnetization = 0.0 μB/f.u.
E = -4.7688 eV/atom
calculated volume = 495.6 Å³ per cell

Unit cell a=8.981 b=8.981 c=8.981 alpha=58.59 beta=58.59 gamma=58.59
Fractional positions:
Sm 0.721 0.569 0.068
Sm 0.279 0.431 0.932
Sm 0.068 0.721 0.569
Sm 0.431 0.932 0.279
Sm 0.569 0.068 0.721
Sm 0.932 0.279 0.431
Nd 0.938 0.706 0.180
Nd 0.180 0.938 0.706
Nd 0.294 0.820 0.062
Nd 0.706 0.180 0.938
Nd 0.820 0.062 0.294
Nd 0.062 0.294 0.820
Y 0.346 0.346 0.346
Y 0.654 0.654 0.654



No. 14
# Nd5SmY2

A relaxed Nd5SmY2 crystal (PBE, the Alexandria database).

Output
formation energy from the elements = 0.228 eV/atom
space group = P2_1/m, No. 11
distance to the lowest polymorph of the same formula = 216 meV/atom
total magnetization = 0.0 μB/f.u.
E = -4.9579 eV/atom
calculated volume = 577.8 Å³ per cell

Unit cell a=7.231 b=9.552 c=10.143 alpha=90.00 beta=90.00 gamma=55.56
Fractional positions:
Nd 0.251 0.001 0.530
Nd 0.749 0.999 0.030
Nd 0.749 0.999 0.470
Nd 0.798 0.278 0.250
Nd 0.273 0.639 0.406
Nd 0.727 0.361 0.906
Nd 0.727 0.361 0.594
Nd 0.273 0.639 0.094
Nd 0.251 0.001 0.970
Nd 0.202 0.722 0.750
Y 0.229 0.364 0.910
Y 0.229 0.364 0.590
Y 0.771 0.636 0.410
Y 0.771 0.636 0.090
Sm 0.713 0.720 0.750
Sm 0.287 0.280 0.250



No. 15
# Nd3SmY

A relaxed Nd3SmY crystal (PBE, the Alexandria database).

Output
formation energy from the elements = 0.014 eV/atom
space group = C2/m, No. 12
distance to the lowest polymorph of the same formula = 0 meV/atom
total magnetization = 0.0 μB/f.u.
E = -5.0838 eV/atom
calculated volume = 344.1 Å³ per cell

Unit cell a=5.162 b=6.318 c=11.561 alpha=89.83 beta=90.03 gamma=114.16
Fractional positions:
Y 0.350 0.701 0.950
Y 0.650 0.299 0.050
Nd 0.150 0.300 0.550
Nd 0.751 0.501 0.752
Nd 0.249 0.499 0.248
Nd 0.949 0.899 0.149
Nd 0.051 0.101 0.851
Nd 0.850 0.700 0.450
Sm 0.550 0.099 0.349
Sm 0.450 0.901 0.651



No. 16
# Nd5Sm12Y2

A relaxed Nd5Sm12Y2 crystal (PBE, the Alexandria database).

Output
formation energy from the elements = 0.172 eV/atom
space group = C2/m, No. 12
total magnetization = 0.0 μB/f.u.
E = -4.7438 eV/atom
calculated volume = 659.2 Å³ per cell

Unit cell a=7.137 b=9.966 c=10.628 alpha=70.51 beta=90.00 gamma=110.98
Fractional positions:
Sm 0.406 0.318 0.130
Sm 0.088 0.682 0.870
Sm 0.499 0.999 0.676
Sm 0.913 0.331 0.476
Sm 0.418 0.331 0.476
Sm 0.582 0.669 0.524
Sm 0.087 0.669 0.524
Sm 0.594 0.682 0.870
Sm 0.974 0.947 0.249
Sm 0.026 0.053 0.751
Sm 0.912 0.318 0.130
Sm 0.501 0.001 0.324
Y 0.271 0.000 0.000
Y 0.729 0.000 0.000
Nd 0.677 0.354 0.789
Nd 0.187 0.374 0.815
Nd 0.813 0.626 0.185
Nd 0.323 0.646 0.211
Nd 0.000 0.000 0.500



No. 17
# Nd15SmY4

A relaxed Nd15SmY4 crystal (PBE, the Alexandria database).

Output
formation energy from the elements = 0.010 eV/atom
space group = P4/mmm, No. 123
total magnetization = 0.0 μB/f.u.
E = -5.0945 eV/atom
calculated volume = 691.6 Å³ per cell

Unit cell a=5.179 b=5.179 c=25.788 alpha=90.00 beta=90.00 gamma=90.00
Fractional positions:
Nd 0.500 0.500 0.000
Nd 0.500 0.500 0.201
Nd 0.000 0.500 0.300
Nd 0.500 0.000 0.100
Nd 0.500 0.000 0.300
Nd 0.500 0.500 0.600
Nd 0.000 0.500 0.900
Nd 0.000 0.500 0.700
Nd 0.000 0.500 0.500
Nd 0.500 0.000 0.900
Nd 0.500 0.000 0.500
Nd 0.000 0.500 0.100
Nd 0.500 0.000 0.700
Nd 0.500 0.500 0.799
Nd 0.500 0.500 0.400
Y 0.000 0.000 0.800
Y 0.000 0.000 0.600
Y 0.000 0.000 0.200
Y 0.000 0.000 0.400
Sm 0.000 0.000 0.000



No. 18
# Nd2Sm12Y5

A relaxed Nd2Sm12Y5 crystal (PBE, the Alexandria database).

Output
formation energy from the elements = 0.124 eV/atom
space group = C2/m, No. 12
distance to the lowest polymorph of the same formula = 15 meV/atom
total magnetization = 0.0 μB/f.u.
E = -5.0590 eV/atom
calculated volume = 648.7 Å³ per cell

Unit cell a=9.294 b=12.571 c=8.740 alpha=132.69 beta=90.00 gamma=111.70
Fractional positions:
Nd 0.675 0.000 0.000
Nd 0.325 0.000 0.000
Sm 0.914 0.828 0.711
Sm 0.178 0.745 0.413
Sm 0.972 0.305 0.066
Sm 0.667 0.695 0.934
Sm 0.028 0.695 0.934
Sm 0.433 0.255 0.587
Sm 0.560 0.121 0.781
Sm 0.567 0.745 0.413
Sm 0.333 0.305 0.066
Sm 0.086 0.172 0.289
Sm 0.440 0.879 0.219
Sm 0.822 0.255 0.587
Y 0.768 0.537 0.106
Y 0.298 0.596 0.617
Y 0.232 0.463 0.894
Y 0.000 0.000 0.500
Y 0.702 0.404 0.383